[1]
NaHgPb2Au | Alexandria | PBE | relaxed; energy = -2.051 eV/atom; ΔE_f = 0.412 eV per atom; calculated density = 7.97 g cm⁻³; SG = P4/mmm (123)
1.0
-4.732 2.025 2.370
-2.728 -1.035 -4.564
-1.253 -5.180 1.924
Au Hg Na Pb
1 1 1 2
direct
0.500 0.500 0.500 Au
0.000 0.000 0.000 Hg
0.000 0.500 0.000 Na
0.000 0.000 0.500 Pb
0.500 0.000 0.000 Pb


[2]
CaAg2Ir | Alexandria | PBE | relaxed; energy = -4.092 eV/atom; ΔE_f = 0.049 eV per atom; calculated density = 9.84 g cm⁻³; distance to the lowest polymorph of the same formula = 38.6 meV/atom; SG = I-4m2 (119)
1.0
-0.065 4.487 -2.551
0.827 -0.909 -5.014
-3.334 -2.079 3.348
Ag Ca Ir
2 1 1
direct
0.750 0.250 0.500 Ag
0.000 0.000 0.000 Ag
0.500 0.500 0.000 Ca
0.250 0.750 0.500 Ir


[3]
AcCePa | Alexandria | PBE | relaxed; energy = -6.094 eV/atom; ΔE_f = 0.419 eV per atom; calculated density = 10.55 g cm⁻³; distance to the lowest polymorph of the same formula = 142.9 meV/atom; SG = P6_3/mmc (194)
1.0
-1.433 5.045 -1.709
-3.857 -3.487 1.843
0.906 2.504 6.633
Pa Ce Ac
2 2 2
direct
0.333 0.667 0.250 Pa
0.667 0.333 0.750 Pa
0.667 0.333 0.250 Ce
0.333 0.667 0.750 Ce
0.000 0.000 0.000 Ac
0.000 0.000 0.500 Ac


[4]
HgH3Ir | Alexandria | PBE | relaxed; energy = -3.649 eV/atom; calculated density = 9.44 g cm⁻³; distance to the lowest polymorph of the same formula = 0.0 meV/atom; SG = C2/m (12)
1.0
5.981 -0.628 -0.870
-1.047 4.653 3.395
-1.127 0.696 5.702
H Hg Ir
6 2 2
direct
0.376 0.456 0.352 H
0.093 0.658 0.083 H
0.093 0.187 0.554 H
0.665 0.598 0.494 H
0.947 0.396 0.763 H
0.947 0.867 0.293 H
0.637 0.261 0.157 Hg
0.403 0.793 0.689 Hg
0.143 0.325 0.221 Ir
0.897 0.729 0.625 Ir


[5]
NbAl3N | Alexandria | PBE | relaxed; energy relative to the elements, uncorrected = -0.045 eV per atom; energy = -5.970 eV/atom; calculated density = 4.56 g cm⁻³; distance to the lowest polymorph of the same formula = 0.0 meV/atom; SG = Pm-3m (221)
1.0
4.091 0.000 0.000
0.000 4.091 0.000
0.000 0.000 4.091
Nb N Al
1 1 3
direct
0.500 0.500 0.500 Nb
0.000 0.000 0.000 N
0.500 0.000 0.000 Al
0.000 0.000 0.500 Al
0.000 0.500 0.000 Al


[6]
CrTcW2 | Alexandria | PBE | relaxed; energy = -11.390 eV/atom; ΔE_f = 0.084 eV per atom; calculated density = 14.50 g cm⁻³; distance to the lowest polymorph of the same formula = 66.1 meV/atom; SG = Pmmm (47)
1.0
-2.869 -0.801 -0.883
1.642 -1.876 -3.633
0.397 -3.757 2.119
W Tc Cr
2 1 1
direct
0.000 0.000 0.000 W
0.500 0.500 0.000 W
0.000 0.500 0.500 Tc
0.500 0.000 0.500 Cr


[7]
Tl2Au2Br7 | Alexandria | PBE | relaxed; energy relative to the elements, uncorrected = -0.344 eV per atom; energy = -2.434 eV/atom; calculated density = 4.86 g cm⁻³; distance to the lowest polymorph of the same formula = 0.0 meV/atom; SG = C2/m (12)
1.0
-3.594 -6.895 -0.910
1.072 0.761 -8.017
6.124 -3.467 4.059
Br Au Tl
7 2 2
direct
0.500 0.000 0.000 Br
0.708 0.589 0.948 Br
0.292 0.052 0.411 Br
0.292 0.411 0.052 Br
0.755 0.467 0.467 Br
0.245 0.533 0.533 Br
0.708 0.948 0.589 Br
0.680 0.752 0.752 Au
0.320 0.248 0.248 Au
0.000 0.302 0.698 Tl
0.000 0.698 0.302 Tl


[8]
BaErPt2 | Alexandria | PBE | relaxed; energy = -5.619 eV/atom; ΔE_f = -0.977 eV per atom; calculated density = 11.77 g cm⁻³; distance to the lowest polymorph of the same formula = 0.0 meV/atom; SG = P4/mmm (123)
1.0
3.592 0.000 0.000
0.000 3.592 0.000
0.000 0.000 7.599
Ba Pt Er
1 2 1
direct
0.500 0.500 0.500 Ba
0.000 0.000 0.197 Pt
0.000 0.000 0.803 Pt
0.500 0.500 0.000 Er